Computed, not measured: a relaxed Mo2RhBr crystal at the PBE-GGA level of DFT.

Values from the calculation:
Distance to the lowest polymorph of the same formula, meV per atom: 94.4
Energy relative to the elements, uncorrected, eV per atom: 0.367
Spin magnetization, μB/f.u.: 0.00
E_tot, eV/cell: -29.2

Unit cell a=2.942 b=2.943 c=7.764 alpha=90.00 beta=90.00 gamma=89.99
Positions (direct):
Rh 0.000 0.000 0.471
Mo 0.500 0.500 0.255
Mo 0.000 0.000 0.001
Br 0.500 0.500 0.773

Computed, not measured: a relaxed Mo2RhBr crystal at the PBE-GGA level of DFT.

Values from the calculation:
Distance to the lowest polymorph of the same formula, meV per atom: 859.3
Energy relative to the elements, uncorrected, eV per atom: 1.132
Spin magnetization, μB/f.u.: 0.00
E_tot, eV/cell: -52.3

Unit cell a=5.723 b=5.723 c=6.862 alpha=65.35 beta=65.35 gamma=90.00
Positions (direct):
Rh 0.000 0.000 0.000
Rh 0.750 0.250 0.500
Mo 0.108 0.625 0.250
Mo 0.642 0.125 0.250
Mo 0.375 0.358 0.750
Mo 0.875 0.892 0.750
Br 0.500 0.500 0.000
Br 0.250 0.750 0.500

Computed, not measured: a relaxed Mo2RhBr crystal at the PBE-GGA level of DFT.

Values from the calculation:
Distance to the lowest polymorph of the same formula, meV per atom: 599.0
Energy relative to the elements, uncorrected, eV per atom: 0.872
Spin magnetization, μB/f.u.: 0.00
E_tot, eV/cell: -27.2

Unit cell a=4.706 b=3.734 c=3.734 alpha=90.00 beta=90.00 gamma=90.00
Positions (direct):
Br 0.500 0.000 0.500
Mo 0.000 0.000 0.000
Mo 0.000 0.500 0.500
Rh 0.500 0.500 0.000

Computed, not measured: a relaxed Mo2RhBr crystal at the PBE-GGA level of DFT.

Values from the calculation:
Distance to the lowest polymorph of the same formula, meV per atom: 278.9
Energy relative to the elements, uncorrected, eV per atom: 0.552
Spin magnetization, μB/f.u.: 0.00
E_tot, eV/cell: -28.5

Unit cell a=5.123 b=5.123 c=4.659 alpha=80.65 beta=80.65 gamma=34.43
Positions (direct):
Mo 0.272 0.272 0.278
Mo 0.962 0.962 0.017
Br 0.736 0.736 0.757
Rh 0.530 0.530 0.448

Computed, not measured: a relaxed Mo2RhBr crystal at the PBE-GGA level of DFT.

Values from the calculation:
Distance to the lowest polymorph of the same formula, meV per atom: 186.1
Energy relative to the elements, uncorrected, eV per atom: 0.459
Spin magnetization, μB/f.u.: 0.00
E_tot, eV/cell: -28.9

Unit cell a=8.886 b=8.886 c=8.886 alpha=18.94 beta=18.94 gamma=18.94
Positions (direct):
Br 0.750 0.750 0.750
Rh 0.250 0.250 0.250
Mo 0.501 0.501 0.501
Mo 0.999 0.999 0.999

Computed, not measured: a relaxed Mo2RhBr crystal at the PBE-GGA level of DFT.

Values from the calculation:
Distance to the lowest polymorph of the same formula, meV per atom: 644.4
Energy relative to the elements, uncorrected, eV per atom: 0.917
Spin magnetization, μB/f.u.: 1.57
E_tot, eV/cell: -27.0

Unit cell a=4.533 b=4.533 c=4.533 alpha=60.00 beta=60.00 gamma=60.00
Positions (direct):
Rh 0.750 0.750 0.750
Mo 0.250 0.250 0.250
Mo 0.000 0.000 0.000
Br 0.500 0.500 0.500

Computed, not measured: a relaxed MoRhSe2Br crystal at the PBE-GGA level of DFT.

Values from the calculation:
Distance to the lowest polymorph of the same formula, meV per atom: 0.0
Energy relative to the elements, uncorrected, eV per atom: 0.725
Spin magnetization, μB/f.u.: 0.96
E_tot, eV/cell: -23.2

Unit cell a=4.851 b=4.851 c=5.273 alpha=90.00 beta=90.00 gamma=90.00
Positions (direct):
Se 0.500 0.000 0.000
Se 0.000 0.500 0.000
Mo 0.000 0.000 0.000
Rh 0.500 0.500 0.500
Br 0.000 0.000 0.500

Computed, not measured: a relaxed MoRuBr2 crystal at the PBE-GGA level of DFT.

Values from the calculation:
Distance to the lowest polymorph of the same formula, meV per atom: 0.0
Energy relative to the elements, uncorrected, eV per atom: 0.015
Spin magnetization, μB/f.u.: 0.00
E_tot, eV/cell: -23.4

Unit cell a=3.573 b=3.573 c=9.042 alpha=81.38 beta=81.38 gamma=58.96
Positions (direct):
Ru 0.200 0.200 0.298
Br 0.778 0.778 0.666
Br 0.976 0.976 0.086
Mo 0.545 0.545 0.450

Computed, not measured: a relaxed MoRuBr crystal at the PBE-GGA level of DFT.

Values from the calculation:
Distance to the lowest polymorph of the same formula, meV per atom: 0.0
Energy relative to the elements, uncorrected, eV per atom: 0.418
Spin magnetization, μB/f.u.: 0.00
E_tot, eV/cell: -20.5

Unit cell a=5.949 b=5.949 c=3.003 alpha=75.38 beta=75.38 gamma=29.24
Positions (direct):
Mo 0.324 0.324 0.676
Br 0.992 0.992 0.008
Ru 0.684 0.684 0.316

Computed, not measured: a relaxed MoRu2Br crystal at the PBE-GGA level of DFT.

Values from the calculation:
Distance to the lowest polymorph of the same formula, meV per atom: 499.0
Energy relative to the elements, uncorrected, eV per atom: 0.993
Spin magnetization, μB/f.u.: 0.00
E_tot, eV/cell: -54.2

Unit cell a=5.769 b=5.769 c=6.703 alpha=64.51 beta=64.51 gamma=90.00
Positions (direct):
Br 0.250 0.750 0.500
Br 0.500 0.500 0.000
Mo 0.750 0.250 0.500
Mo 0.000 0.000 0.000
Ru 0.111 0.625 0.250
Ru 0.639 0.125 0.250
Ru 0.375 0.361 0.750
Ru 0.875 0.889 0.750

Computed, not measured: a relaxed MoRu3Br crystal at the PBE-GGA level of DFT.

Values from the calculation:
Distance to the lowest polymorph of the same formula, meV per atom: 0.0
Energy relative to the elements, uncorrected, eV per atom: 1.757
Spin magnetization, μB/f.u.: 3.83
E_tot, eV/cell: -31.5

Unit cell a=4.764 b=4.764 c=4.764 alpha=90.00 beta=90.00 gamma=90.00
Positions (direct):
Br 0.500 0.500 0.500
Ru 0.000 0.500 0.000
Ru 0.500 0.000 0.000
Ru 0.000 0.000 0.500
Mo 0.000 0.000 0.000

Computed, not measured: a relaxed MoRu4Br crystal at the PBE-GGA level of DFT.

Values from the calculation:
Energy relative to the elements, uncorrected, eV per atom: 0.997
Spin magnetization, μB/f.u.: 0.00
E_tot, eV/cell: -43.6

Unit cell a=5.147 b=5.147 c=5.147 alpha=60.00 beta=60.00 gamma=60.00
Positions (direct):
Ru 0.876 0.375 0.375
Ru 0.375 0.876 0.375
Ru 0.375 0.375 0.876
Ru 0.375 0.375 0.375
Br 0.750 0.750 0.750
Mo 0.000 0.000 0.000